Density functional theory data (PBE) for a relaxed structure of Ag3WCl. Values from VASP.

```
&SYSTEM
  ibrav = 0, nat = 5, ntyp = 3
/
ATOMIC_SPECIES
Ag 107.87 Ag.upf
W 183.84 W.upf
Cl 35.45 Cl.upf
CELL_PARAMETERS angstrom
4.945 0.000 0.000
0.000 4.945 0.000
0.000 0.000 4.945
ATOMIC_POSITIONS crystal
Ag 0.000 0.500 0.000
W 0.500 0.500 0.500
Ag 0.500 0.000 0.000
Cl 0.000 0.000 0.000
Ag 0.000 0.000 0.500
```

Calculated values
- Total magnetic moment: 4.435 μB per cell
- Electronic total energy: -3.113 eV per atom
- Formation energy from raw total energies: 1558 meV/atom
- Energy above the most stable polymorph in this dataset: 0.000 eV per atom
- SG: Pm-3m (221)

=====

Density functional theory data (PBE) for a relaxed structure of AgWCl2. Values from VASP.

```
&SYSTEM
  ibrav = 0, nat = 4, ntyp = 3
/
ATOMIC_SPECIES
Cl 35.45 Cl.upf
W 183.84 W.upf
Ag 107.87 Ag.upf
CELL_PARAMETERS angstrom
-2.468 -1.650 -0.892
-0.115 -1.279 2.681
-5.290 5.637 4.211
ATOMIC_POSITIONS crystal
Cl 0.000 0.084 0.936
W 0.000 0.309 0.514
Ag 0.500 0.688 0.743
Cl 0.500 0.419 0.307
```

Calculated values
- Total magnetic moment: 0.000 μB per cell
- Electronic total energy: -4.721 eV per atom
- Formation energy from raw total energies: 154 meV/atom
- Energy above the most stable polymorph in this dataset: 0.106 eV per atom
- SG: Pm (6)

=====

Density functional theory data (PBE) for a relaxed structure of AgWCl. Values from VASP.

```
&SYSTEM
  ibrav = 0, nat = 3, ntyp = 3
/
ATOMIC_SPECIES
Ag 107.87 Ag.upf
Cl 35.45 Cl.upf
W 183.84 W.upf
CELL_PARAMETERS angstrom
4.536 0.000 0.000
-2.268 3.928 0.000
0.000 0.000 2.835
ATOMIC_POSITIONS crystal
Ag 0.000 0.000 0.000
Cl 0.667 0.333 0.500
W 0.333 0.667 0.500
```

Calculated values
- Total magnetic moment: 0.000 μB per cell
- Electronic total energy: -4.954 eV per atom
- Formation energy from raw total energies: 929 meV/atom
- Energy above the most stable polymorph in this dataset: 0.582 eV per atom
- SG: P-6m2 (187)